# MgGa2Si GGA-PBE optimized geometry
# * DOS at the Fermi energy: 0.47 states/eV per atom
# * calculated total energy: -51.18 eV per cell
# * magnetic moment: 0.000 μB per atom
# * crystal system: tetragonal
data_MgGa2Si
_symmetry_space_group_name_H-M 'I -4 2 d'
_symmetry_Int_Tables_number 122
_symmetry_space_group_name_Hall 'I -4 2bw'
_cell_length_a 7.668
_cell_length_b 7.668
_cell_length_c 5.355
_cell_angle_alpha 90.00
_cell_angle_beta 90.00
_cell_angle_gamma 90.00
loop_
_atom_site_label
_atom_site_type_symbol
_atom_site_fract_x
_atom_site_fract_y
_atom_site_fract_z
_atom_site_occupancy
Mg1 Mg 0.000 0.000 0.000 1
Ga1 Ga 0.197 0.250 0.625 1
Si1 Si 0.000 0.000 0.500 1

***

# Na4Bi3Pd2 GGA-PBE optimized geometry
# * DOS at the Fermi energy: 0.45 states/eV per atom
# * magnetic moment: 0.000 μB per atom
# * crystal system: monoclinic
# * formation energy: -0.263 eV per atom
data_Na4Bi3Pd2
_symmetry_space_group_name_H-M 'C 1 2/m 1'
_symmetry_Int_Tables_number 12
_cell_length_a 15.323
_cell_length_b 4.500
_cell_length_c 7.756
_cell_angle_alpha 90.00
_cell_angle_beta 111.45
_cell_angle_gamma 90.00
loop_
_symmetry_equiv_pos_as_xyz
'x,y,z'
'-x,-y,-z'
'-x,y,-z'
'x,-y,z'
'x+1/2,y+1/2,z'
'-x+1/2,-y+1/2,-z'
'-x+1/2,y+1/2,-z'
'x+1/2,-y+1/2,z'
loop_
_atom_site_label
_atom_site_type_symbol
_atom_site_fract_x
_atom_site_fract_y
_atom_site_fract_z
_atom_site_occupancy
Na1 Na 0.110 0.000 0.361 1
Na2 Na 0.227 0.500 0.146 1
Bi1 Bi 0.000 0.500 0.000 1
Bi2 Bi 0.100 0.500 0.677 1
Pd1 Pd 0.083 0.000 0.891 1

***

# IBrOF2 GGA-PBE optimized geometry
# * DOS at the Fermi energy: 0.84 states/eV per atom
# * calculated total energy: -11.36 eV per cell
# * magnetic moment: 0.348 μB per atom
# * crystal system: tetragonal
data_IBrOF2
_symmetry_space_group_name_H-M 'P 4/m m m'
_symmetry_Int_Tables_number 123
_symmetry_space_group_name_Hall '-P 4 2'
_cell_length_a 5.074
_cell_length_b 5.074
_cell_length_c 3.656
_cell_angle_alpha 90.00
_cell_angle_beta 90.00
_cell_angle_gamma 90.00
loop_
_atom_site_label
_atom_site_type_symbol
_atom_site_fract_x
_atom_site_fract_y
_atom_site_fract_z
_atom_site_occupancy
I1 I 0.000 0.000 0.000 1
Br1 Br 0.500 0.500 0.500 1
O1 O 0.500 0.500 0.000 1
F1 F 0.000 0.500 0.500 1

***

# Pm2SiRu GGA-PBE optimized geometry
# * DOS at the Fermi energy: 0.67 states/eV per atom
# * calculated total energy: -52.78 eV per cell
# * magnetic moment: 0.000 μB per atom
# * crystal system: orthorhombic
data_Pm2SiRu
_symmetry_space_group_name_H-M 'A m m 2'
_symmetry_Int_Tables_number 38
_cell_length_a 3.898
_cell_length_b 4.360
_cell_length_c 11.052
_cell_angle_alpha 90.00
_cell_angle_beta 90.00
_cell_angle_gamma 90.00
loop_
_symmetry_equiv_pos_as_xyz
'x,y,z'
'-x,-y,z'
'-x,y,z'
'x,-y,z'
'x,y+1/2,z+1/2'
'-x,-y+1/2,z+1/2'
'-x,y+1/2,z+1/2'
'x,-y+1/2,z+1/2'
loop_
_atom_site_label
_atom_site_type_symbol
_atom_site_fract_x
_atom_site_fract_y
_atom_site_fract_z
_atom_site_occupancy
Pm1 Pm 0.000 0.000 0.000 1
Pm2 Pm 0.500 0.000 0.279 1
Si1 Si 0.000 0.000 0.695 1
Ru1 Ru 0.500 0.000 0.559 1

***

# Sr2MgZnO GGA-PBE optimized geometry
# * DOS at the Fermi energy: 0.52 states/eV per atom
# * calculated total energy: -16.34 eV per cell
# * magnetic moment: 0.000 μB per atom
# * crystal system: tetragonal
data_Sr2MgZnO
_symmetry_space_group_name_H-M 'P 4/m m m'
_symmetry_Int_Tables_number 123
_symmetry_space_group_name_Hall '-P 4 2'
_cell_length_a 5.292
_cell_length_b 5.292
_cell_length_c 4.271
_cell_angle_alpha 90.00
_cell_angle_beta 90.00
_cell_angle_gamma 90.00
loop_
_atom_site_label
_atom_site_type_symbol
_atom_site_fract_x
_atom_site_fract_y
_atom_site_fract_z
_atom_site_occupancy
Sr1 Sr 0.000 0.500 0.000 1
Mg1 Mg 0.000 0.000 0.500 1
Zn1 Zn 0.500 0.500 0.500 1
O1 O 0.000 0.000 0.000 1

***

# LiCrTc GGA-PBE optimized geometry
# * DOS at the Fermi energy: 0.77 states/eV per atom
# * magnetic moment: 0.000 μB per atom
# * crystal system: orthorhombic
# * formation energy: 0.294 eV per atom
data_LiCrTc
_symmetry_space_group_name_H-M 'I m m 2'
_symmetry_Int_Tables_number 44
_cell_length_a 2.450
_cell_length_b 4.247
_cell_length_c 7.404
_cell_angle_alpha 90.00
_cell_angle_beta 90.00
_cell_angle_gamma 90.00
loop_
_symmetry_equiv_pos_as_xyz
'x,y,z'
'-x,-y,z'
'-x,y,z'
'x,-y,z'
'x+1/2,y+1/2,z+1/2'
'-x+1/2,-y+1/2,z+1/2'
'-x+1/2,y+1/2,z+1/2'
'x+1/2,-y+1/2,z+1/2'
loop_
_atom_site_label
_atom_site_type_symbol
_atom_site_fract_x
_atom_site_fract_y
_atom_site_fract_z
_atom_site_occupancy
Li1 Li 0.000 0.000 0.000 1
Cr1 Cr 0.000 0.000 0.338 1
Tc1 Tc 0.000 0.000 0.662 1